K3Th3Te8Au: relaxed, GGA-PBE.

Output
- total magnetic moment (μB per formula unit) = 0.0
- crystal system = monoclinic
- E_tot (eV/cell) = -69.41
- formation energy from raw total energies (meV/atom) = -1030.1
- SG = C2/m, No. 12

Lattice parameters (Å, degrees): 8.9671 8.9671 9.4472 114.71 114.71 65.00
Positions (direct):
K  0.0000  0.0000  0.0000
K  0.0000  0.5000  0.0000
K  0.5000  0.0000  0.0000
Th  0.0000  0.5000  0.5000
Th  0.5000  0.0000  0.5000
Th  0.5000  0.5000  0.5000
Te  0.2040  0.2040  0.6808
Te  0.2590  0.2590  0.2812
Te  0.2628  0.6935  0.7268
Te  0.3065  0.7372  0.2732
Te  0.6935  0.2628  0.7268
Te  0.7372  0.3065  0.2732
Te  0.7410  0.7410  0.7188
Te  0.7960  0.7960  0.3192
Au  0.0000  0.0000  0.5000